Entry 1:
The following is a DFT calculation (PBE-GGA) of ZrAlAg after structural relaxation.

Structure (POSCAR):
```
ZrAlAg
1.0
-3.7789 -3.6057 -5.9682
1.1661 -2.6526 -0.6041
-2.8630 -2.1625 3.9663
Zr Al Ag
2 2 2
Direct
0.6764 0.0147 0.4995 Zr
0.0281 0.6627 0.9280 Zr
0.0156 0.1752 0.4222 Al
0.3498 0.8409 0.2135 Al
0.6905 0.5005 0.0141 Ag
0.3455 0.8461 0.7109 Ag
```

Crystal system ... monoclinic
Calculated formation energy ... -0.181 eV per atom
ρ ... 6.500 g cm⁻³
Total magnetization ... 0.00 μB/f.u.

Entry 2:
The following is a DFT calculation (PBE-GGA) of Re2SbAsP after structural relaxation.

Structure (POSCAR):
```
Re2SbAsP
1.0
4.5308 0.0000 0.0000
0.0000 4.6788 0.0000
0.0000 0.0000 4.5308
Re As P Sb
2 1 1 1
Direct
0.0000 0.0000 0.5000 Re
0.5000 0.0000 0.0000 Re
0.0000 0.5000 0.0000 As
0.0000 0.0000 0.0000 P
0.5000 0.5000 0.5000 Sb
```

Crystal system ... tetragonal
ρ ... 10.375 g cm⁻³
Energy relative to the elements, uncorrected ... 5.70 eV per formula unit
Total magnetization ... 0.00 μB/f.u.

Entry 3:
The following is a DFT calculation (PBE-GGA) of YTa2Cd after structural relaxation.

Structure (POSCAR):
```
YTa2Cd
1.0
-7.9508 -0.2239 -6.9829
-8.8794 -2.5359 -5.1721
-9.5969 0.3707 -4.4484
Cd Ta Y
1 2 1
Direct
0.7500 0.7500 0.7500 Cd
0.0030 0.0030 0.0030 Ta
0.4970 0.4970 0.4970 Ta
0.2500 0.2500 0.2500 Y
```

Crystal system ... trigonal
Calculated formation energy ... 0.471 eV per atom
ρ ... 10.910 g cm⁻³
Total magnetization ... 0.00 μB/f.u.

Entry 4:
The following is a DFT calculation (PBE-GGA) of Ru2Pb after structural relaxation.

Structure (POSCAR):
```
Ru2Pb
1.0
-0.5319 1.6361 -4.6707
-3.7777 -1.6344 -2.7986
1.2336 2.2469 4.2666
Pb Ru
1 2
Direct
0.0000 0.0000 0.0000 Pb
0.6790 0.6790 0.0000 Ru
0.3210 0.3210 0.0000 Ru
```

Crystal system ... orthorhombic
Calculated formation energy ... 0.619 eV per atom
ρ ... 13.246 g cm⁻³
E above lowest polymorph ... 209 meV per atom
Total magnetization ... 0.00 μB/f.u.

Entry 5:
The following is a DFT calculation (PBE-GGA) of NbFeCo2 after structural relaxation.

Structure (POSCAR):
```
NbFeCo2
1.0
-2.4325 -2.3235 2.5154
-3.6747 1.5176 1.3552
-3.5993 -1.6035 -1.4549
Nb Co Fe
1 2 1
Direct
0.5000 0.5000 0.5000 Nb
0.2500 0.2500 0.2500 Co
0.7500 0.7500 0.7500 Co
0.0000 0.0000 0.0000 Fe
```

Crystal system ... cubic
Calculated formation energy ... -0.010 eV per atom
ρ ... 8.449 g cm⁻³
E above lowest polymorph ... 90 meV per atom
Total magnetization ... 5.90 μB/f.u.

Entry 6:
The following is a DFT calculation (PBE-GGA) of In2FeCu after structural relaxation.

Structure (POSCAR):
```
In2FeCu
1.0
-1.5814 -4.0620 1.4032
2.7845 -0.7897 0.8521
-0.8387 1.8727 4.4760
Cu Fe In
1 1 2
Direct
0.0000 0.6250 0.4484 Cu
0.5000 0.6250 0.8089 Fe
0.0000 0.1250 0.9116 In
0.5000 0.1250 0.3311 In
```

Crystal system ... orthorhombic
Calculated formation energy ... 0.211 eV per atom
ρ ... 8.519 g cm⁻³
E above lowest polymorph ... 1 meV per atom
Total magnetization ... 2.25 μB/f.u.

Entry 7:
The following is a DFT calculation (PBE-GGA) of TbScBi after structural relaxation.

Structure (POSCAR):
```
TbScBi
1.0
4.4315 0.0000 0.0000
0.0000 4.4315 0.0000
0.0000 0.0000 8.3825
Tb Sc Bi
2 2 2
Direct
0.0000 0.5000 0.8453 Tb
0.5000 0.0000 0.1547 Tb
0.5000 0.5000 0.5000 Sc
0.0000 0.0000 0.5000 Sc
0.0000 0.5000 0.2318 Bi
0.5000 0.0000 0.7682 Bi
```

Crystal system ... tetragonal
Calculated formation energy ... -0.635 eV per atom
ρ ... 8.329 g cm⁻³
Total magnetization ... 0.30 μB/f.u.

Entry 8:
The following is a DFT calculation (PBE-GGA) of ScSnN2F after structural relaxation.

Structure (POSCAR):
```
ScSnN2F
1.0
4.1876 0.0000 0.0000
0.0000 4.1876 0.0000
0.0000 0.0000 3.9584
Sc N Sn F
1 2 1 1
Direct
0.0000 0.0000 0.0000 Sc
0.0000 0.5000 0.0000 N
0.5000 0.0000 0.0000 N
0.5000 0.5000 0.5000 Sn
0.0000 0.0000 0.5000 F
```

Crystal system ... tetragonal
ρ ... 5.040 g cm⁻³
E above lowest polymorph ... 0 meV per atom
Energy relative to the elements, uncorrected ... -2.82 eV per formula unit
Total magnetization ... 0.66 μB/f.u.

> ρ of number 4 (Ru2Pb)?

13.246 g cm⁻³